Entry 1:
Hf2MgScGa: optimized geometry, GGA-PBE.

Results
Calculated volume   127.2 Å³/cell
Total energy   -0.384 Ry per atom
Formation energy   948 meV per atom

```
data_Hf2MgScGa
_symmetry_space_group_name_H-M 'P 4/m m m'
_symmetry_Int_Tables_number 123
_symmetry_space_group_name_Hall '-P 4 2'
_cell_length_a 4.9625
_cell_length_b 4.9625
_cell_length_c 5.1636
_cell_angle_alpha 90.00
_cell_angle_beta 90.00
_cell_angle_gamma 90.00
loop_
_atom_site_label
_atom_site_type_symbol
_atom_site_fract_x
_atom_site_fract_y
_atom_site_fract_z
Hf1 Hf 0.0000 0.5000 0.0000
Mg1 Mg 0.0000 0.0000 0.5000
Sc1 Sc 0.5000 0.5000 0.0000
Ga1 Ga 0.5000 0.5000 0.5000
```

***

Entry 2:
Hf2MgZnGa: optimized geometry, GGA-PBE.

Results
Calculated volume   115.9 Å³/cell
Total energy   -0.302 Ry per atom
Formation energy   1052 meV per atom

```
data_Hf2MgZnGa
_symmetry_space_group_name_H-M 'P 4/m m m'
_symmetry_Int_Tables_number 123
_symmetry_space_group_name_Hall '-P 4 2'
_cell_length_a 5.0428
_cell_length_b 5.0428
_cell_length_c 4.5595
_cell_angle_alpha 90.00
_cell_angle_beta 90.00
_cell_angle_gamma 90.00
loop_
_atom_site_label
_atom_site_type_symbol
_atom_site_fract_x
_atom_site_fract_y
_atom_site_fract_z
Hf1 Hf 0.0000 0.5000 0.0000
Mg1 Mg 0.0000 0.0000 0.0000
Zn1 Zn 0.0000 0.0000 0.5000
Ga1 Ga 0.5000 0.5000 0.5000
```

***

Entry 3:
Hf2MnGa2: optimized geometry, GGA-PBE.

Results
Distance to the lowest polymorph of the same formula   5 meV/atom
Calculated volume   175.9 Å³/cell
Total energy   -0.542 Ry per atom
Formation energy   -351 meV per atom

```
data_Hf2MnGa2
_symmetry_space_group_name_H-M 'P 4/m b m'
_symmetry_Int_Tables_number 127
_symmetry_space_group_name_Hall '-P 4 2ab'
_cell_length_a 6.6738
_cell_length_b 6.6738
_cell_length_c 3.9485
_cell_angle_alpha 90.00
_cell_angle_beta 90.00
_cell_angle_gamma 90.00
loop_
_atom_site_label
_atom_site_type_symbol
_atom_site_fract_x
_atom_site_fract_y
_atom_site_fract_z
Hf1 Hf 0.1722 0.3278 0.0000
Mn1 Mn 0.0000 0.0000 0.5000
Ga1 Ga 0.1341 0.6341 0.5000
```

***

Entry 4:
Hf4MnGa: optimized geometry, GGA-PBE.

Results
Calculated volume   227.2 Å³/cell
Total energy   -0.648 Ry per atom
Formation energy   -145 meV per atom

```
data_Hf4MnGa
_symmetry_space_group_name_H-M 'C m m m'
_symmetry_Int_Tables_number 65
_symmetry_space_group_name_Hall '-C 2 2'
_cell_length_a 4.5053
_cell_length_b 11.2605
_cell_length_c 4.4786
_cell_angle_alpha 90.00
_cell_angle_beta 90.00
_cell_angle_gamma 90.00
loop_
_atom_site_label
_atom_site_type_symbol
_atom_site_fract_x
_atom_site_fract_y
_atom_site_fract_z
Hf1 Hf 0.0000 0.1529 0.0000
Hf2 Hf 0.0000 0.3453 0.5000
Mn1 Mn 0.0000 0.0000 0.5000
Ga1 Ga 0.0000 0.5000 0.0000
```

***

Entry 5:
HfMnGa: optimized geometry, GGA-PBE.

Results
Calculated volume   321.4 Å³/cell
Total energy   -0.544 Ry per atom
Formation energy   -23 meV per atom

```
data_HfMnGa
_symmetry_space_group_name_H-M 'R -3 m'
_symmetry_Int_Tables_number 166
_symmetry_space_group_name_Hall '-R 3 2"'
_cell_length_a 4.0721
_cell_length_b 4.0721
_cell_length_c 22.3792
_cell_angle_alpha 90.00
_cell_angle_beta 90.00
_cell_angle_gamma 120.00
loop_
_atom_site_label
_atom_site_type_symbol
_atom_site_fract_x
_atom_site_fract_y
_atom_site_fract_z
Hf1 Hf 0.0000 0.0000 0.0676
Mn1 Mn 0.0000 0.0000 0.3197
Ga1 Ga 0.0000 0.0000 0.1938
```

***

Entry 6:
HfMnGa: optimized geometry, GGA-PBE.

Results
Calculated volume   50.7 Å³/cell
Total energy   -0.556 Ry per atom
Formation energy   -183 meV per atom

```
data_HfMnGa
_symmetry_space_group_name_H-M 'P -6 m 2'
_symmetry_Int_Tables_number 187
_symmetry_space_group_name_Hall 'P -6 2'
_cell_length_a 4.3312
_cell_length_b 4.3312
_cell_length_c 3.1218
_cell_angle_alpha 90.00
_cell_angle_beta 90.00
_cell_angle_gamma 120.00
loop_
_atom_site_label
_atom_site_type_symbol
_atom_site_fract_x
_atom_site_fract_y
_atom_site_fract_z
Hf1 Hf 0.0000 0.0000 0.0000
Mn1 Mn 0.6667 0.3333 0.5000
Ga1 Ga 0.3333 0.6667 0.5000
```

***

Entry 7:
Hf3MnGa3: optimized geometry, GGA-PBE.

Results
Calculated volume   492.6 Å³/cell
Total energy   -0.533 Ry per atom
Formation energy   -386 meV per atom

```
data_Hf3MnGa3
_symmetry_space_group_name_H-M 'C 1 2/m 1'
_symmetry_Int_Tables_number 12
_symmetry_space_group_name_Hall '-C 2y'
_cell_length_a 10.6067
_cell_length_b 3.4602
_cell_length_c 14.1165
_cell_angle_alpha 90.00
_cell_angle_beta 108.05
_cell_angle_gamma 90.00
loop_
_atom_site_label
_atom_site_type_symbol
_atom_site_fract_x
_atom_site_fract_y
_atom_site_fract_z
Hf1 Hf 0.0207 0.0000 0.3768
Hf2 Hf 0.1276 0.0000 0.9251
Hf3 Hf 0.2456 0.0000 0.2443
Mn1 Mn 0.2144 0.5000 0.3825
Ga1 Ga 0.0162 0.5000 0.2249
Ga2 Ga 0.1089 0.5000 0.0773
Ga3 Ga 0.1303 0.5000 0.5374
```

***

Entry 8:
HfMn2Ga: optimized geometry, GGA-PBE.

Results
Calculated volume   58.0 Å³/cell
Total energy   -0.589 Ry per atom
Formation energy   -184 meV per atom

```
data_HfMn2Ga
_symmetry_space_group_name_H-M 'P 4/m m m'
_symmetry_Int_Tables_number 123
_symmetry_space_group_name_Hall '-P 4 2'
_cell_length_a 4.1450
_cell_length_b 4.1450
_cell_length_c 3.3737
_cell_angle_alpha 90.00
_cell_angle_beta 90.00
_cell_angle_gamma 90.00
loop_
_atom_site_label
_atom_site_type_symbol
_atom_site_fract_x
_atom_site_fract_y
_atom_site_fract_z
Hf1 Hf 0.0000 0.0000 0.0000
Mn1 Mn 0.0000 0.5000 0.5000
Ga1 Ga 0.5000 0.5000 0.0000
```

***

Entry 9:
Hf2MnGa2: optimized geometry, GGA-PBE.

Results
Distance to the lowest polymorph of the same formula   0 meV/atom
Calculated volume   350.5 Å³/cell
Total energy   -0.543 Ry per atom
Formation energy   -356 meV per atom

```
data_Hf2MnGa2
_symmetry_space_group_name_H-M 'C 1 2/m 1'
_symmetry_Int_Tables_number 12
_symmetry_space_group_name_Hall '-C 2y'
_cell_length_a 10.1263
_cell_length_b 3.9560
_cell_length_c 9.7390
_cell_angle_alpha 90.00
_cell_angle_beta 116.06
_cell_angle_gamma 90.00
loop_
_atom_site_label
_atom_site_type_symbol
_atom_site_fract_x
_atom_site_fract_y
_atom_site_fract_z
Hf1 Hf 0.0041 0.0000 0.1766
Hf2 Hf 0.1875 0.0000 0.6176
Mn1 Mn 0.2131 0.5000 0.8393
Ga1 Ga 0.0334 0.5000 0.3891
Ga2 Ga 0.1404 0.5000 0.0584
```

***

Entry 10:
HfMn3Ga3: optimized geometry, GGA-PBE.

Results
Calculated volume   212.6 Å³/cell
Total energy   -0.489 Ry per atom
Formation energy   -9 meV per atom

```
data_HfMn3Ga3
_symmetry_space_group_name_H-M 'P 63/m'
_symmetry_Int_Tables_number 176
_symmetry_space_group_name_Hall '-P 6c'
_cell_length_a 7.2990
_cell_length_b 7.2990
_cell_length_c 4.6081
_cell_angle_alpha 90.00
_cell_angle_beta 90.00
_cell_angle_gamma 120.00
loop_
_atom_site_label
_atom_site_type_symbol
_atom_site_fract_x
_atom_site_fract_y
_atom_site_fract_z
Hf1 Hf 0.3333 0.6667 0.2500
Mn1 Mn 0.0887 0.4599 0.7500
Ga1 Ga 0.0275 0.2416 0.2500
```

***

Entry 11:
HfMn6Ga6: optimized geometry, GGA-PBE.

Results
Calculated volume   363.7 Å³/cell
Total energy   -0.483 Ry per atom
Formation energy   -183 meV per atom

```
data_HfMn6Ga6
_symmetry_space_group_name_H-M 'I m m m'
_symmetry_Int_Tables_number 71
_symmetry_space_group_name_Hall '-I 2 2'
_cell_length_a 5.0436
_cell_length_b 8.4104
_cell_length_c 8.5747
_cell_angle_alpha 90.00
_cell_angle_beta 90.00
_cell_angle_gamma 90.00
loop_
_atom_site_label
_atom_site_type_symbol
_atom_site_fract_x
_atom_site_fract_y
_atom_site_fract_z
Hf1 Hf 0.0000 0.0000 0.0000
Mn1 Mn 0.0000 0.2581 0.5000
Mn2 Mn 0.2500 0.2500 0.2500
Ga1 Ga 0.0000 0.0000 0.3425
Ga2 Ga 0.0000 0.3318 0.0000
Ga3 Ga 0.0000 0.5000 0.3241
```

***

Entry 12:
HfMnGa: optimized geometry, GGA-PBE.

Results
Calculated volume   376.6 Å³/cell
Total energy   -0.568 Ry per atom
Formation energy   -349 meV per atom

```
data_HfMnGa
_symmetry_space_group_name_H-M 'A m m 2'
_symmetry_Int_Tables_number 38
_symmetry_space_group_name_Hall 'A 2 -2'
_cell_length_a 8.3600
_cell_length_b 5.1574
_cell_length_c 8.7352
_cell_angle_alpha 90.00
_cell_angle_beta 90.00
_cell_angle_gamma 90.00
loop_
_atom_site_label
_atom_site_type_symbol
_atom_site_fract_x
_atom_site_fract_y
_atom_site_fract_z
Hf1 Hf 0.1756 0.0000 0.0000
Hf2 Hf 0.3041 0.0000 0.3350
Mn1 Mn 0.0000 0.0000 0.4927
Mn2 Mn 0.0000 0.2341 0.2655
Mn3 Mn 0.5000 0.0000 0.8348
Ga1 Ga 0.2350 0.0000 0.6744
Ga2 Ga 0.5000 0.2426 0.0802
```